Record 1
This record from the Alexandria database describes a relaxed structure of NaTc2Os. The functional is GGA-PBEsol.

## Properties
* space group: Fm-3m
* density: 11.83 g/cm3
* size of the total moment: 0.0 μB/cell
* raw total energy: -8.211 eV per atom
* N(E_F): 3.2 states/eV/f.u.

a b c (Å): 6.126 6.126 6.126
angles (deg): 90.00 90.00 90.00
Atoms (fractional coordinates):
Na  0.000  0.000  0.000
Na  0.000  0.500  0.500
Na  0.500  0.000  0.500
Na  0.500  0.500  0.000
Tc  0.250  0.250  0.250
Tc  0.250  0.250  0.750
Tc  0.250  0.750  0.250
Tc  0.250  0.750  0.750
Tc  0.750  0.250  0.250
Tc  0.750  0.250  0.750
Tc  0.750  0.750  0.250
Tc  0.750  0.750  0.750
Os  0.000  0.000  0.500
Os  0.000  0.500  0.000
Os  0.500  0.000  0.000
Os  0.500  0.500  0.500

=====

Record 2
This record from the Alexandria database describes a relaxed structure of ScCr2Fe. The functional is GGA-PBEsol.

## Properties
* space group: R3m
* energy relative to the lowest polymorph listed for this composition: 5.51 kcal/mol of atoms
* density: 6.36 g/cm3
* size of the total moment: 4.3 μB/cell
* N(E_F): 4.8 states/eV/f.u.

a b c (Å): 2.797 2.797 23.660
angles (deg): 90.00 90.00 120.00
Atoms (fractional coordinates):
Sc  0.000  0.000  0.000
Sc  0.333  0.667  0.667
Sc  0.667  0.333  0.333
Cr  0.000  0.000  0.499
Cr  0.000  0.000  0.764
Cr  0.333  0.667  0.166
Cr  0.333  0.667  0.430
Cr  0.667  0.333  0.097
Cr  0.667  0.333  0.833
Fe  0.000  0.000  0.241
Fe  0.333  0.667  0.908
Fe  0.667  0.333  0.575

=====

Record 3
This record from the Alexandria database describes a relaxed structure of SrTiBeOs2. The functional is GGA-PBEsol.

## Properties
* space group: P4/mmm
* density: 10.28 g/cm3
* size of the total moment: 0.4 μB/cell
* raw total energy: -6.703 eV per atom
* N(E_F): 6.2 states/eV/f.u.

a b c (Å): 4.282 4.282 4.623
angles (deg): 90.00 90.00 90.00
Atoms (fractional coordinates):
Sr  0.000  0.000  0.000
Ti  0.500  0.500  0.000
Be  0.000  0.000  0.500
Os  0.000  0.500  0.500
Os  0.500  0.000  0.500

=====

Record 4
This record from the Alexandria database describes a relaxed structure of LiMo2Cl. The functional is GGA-PBEsol.

## Properties
* space group: Immm
* energy relative to the lowest polymorph listed for this composition: 0.00 kcal/mol of atoms
* raw formation energy: 80.8 meV per atom
* density: 6.09 g/cm3
* size of the total moment: 0.0 μB/cell
* N(E_F): 3.0 states/eV/f.u.

a b c (Å): 3.115 3.267 12.542
angles (deg): 90.00 90.00 90.00
Atoms (fractional coordinates):
Li  0.000  0.000  0.000
Li  0.500  0.500  0.500
Mo  0.000  0.500  0.203
Mo  0.000  0.500  0.797
Mo  0.500  0.000  0.297
Mo  0.500  0.000  0.703
Cl  0.000  0.000  0.500
Cl  0.500  0.500  0.000